Record 1
A plane-wave DFT calculation with GGA-PBE was carried out for a geometry-optimized Nd3Ta2HO10 structure. Values from VASP.

```
&SYSTEM
  ibrav = 0, nat = 64, ntyp = 4
/
ATOMIC_SPECIES
H 1.01 H.upf
Nd 144.24 Nd.upf
O 16.00 O.upf
Ta 180.95 Ta.upf
ATOMIC_POSITIONS crystal
H 0.4364 0.0786 0.0000
H 0.5636 0.9214 0.0000
H 0.9364 0.4214 0.5000
H 0.0636 0.5786 0.5000
Nd 0.0437 0.1405 0.0000
Nd 0.4952 0.4032 0.0000
Nd 0.5048 0.5968 0.0000
Nd 0.9563 0.8595 0.0000
Nd 0.0000 0.5000 0.2377
Nd 0.5000 0.0000 0.2623
Nd 0.9952 0.0968 0.5000
Nd 0.5437 0.3595 0.5000
Nd 0.4563 0.6405 0.5000
Nd 0.0048 0.9032 0.5000
Nd 0.5000 0.0000 0.7377
Nd 0.0000 0.5000 0.7623
O 0.3065 0.0438 0.0000
O 0.4752 0.1875 0.0000
O 0.1657 0.3204 0.0000
O 0.2552 0.4984 0.0000
O 0.7448 0.5016 0.0000
O 0.8343 0.6796 0.0000
O 0.5248 0.8125 0.0000
O 0.6935 0.9562 0.0000
O 0.8875 0.2307 0.1962
O 0.1125 0.7693 0.1962
O 0.7892 0.3763 0.2123
O 0.2108 0.6237 0.2123
O 0.7668 0.0990 0.2128
O 0.2332 0.9010 0.2128
O 0.2668 0.4010 0.2872
O 0.7332 0.5990 0.2872
O 0.2892 0.1237 0.2877
O 0.7108 0.8763 0.2877
O 0.3875 0.2693 0.3038
O 0.6125 0.7307 0.3038
O 0.7552 0.0016 0.5000
O 0.6657 0.1796 0.5000
O 0.9752 0.3125 0.5000
O 0.8065 0.4562 0.5000
O 0.1935 0.5438 0.5000
O 0.0248 0.6875 0.5000
O 0.3343 0.8204 0.5000
O 0.2448 0.9984 0.5000
O 0.3875 0.2693 0.6962
O 0.6125 0.7307 0.6962
O 0.2892 0.1237 0.7123
O 0.7108 0.8763 0.7123
O 0.2668 0.4010 0.7128
O 0.7332 0.5990 0.7128
O 0.7668 0.0990 0.7872
O 0.2332 0.9010 0.7872
O 0.7892 0.3763 0.7877
O 0.2108 0.6237 0.7877
O 0.8875 0.2307 0.8038
O 0.1125 0.7693 0.8038
Ta 0.0592 0.3166 0.2457
Ta 0.9408 0.6834 0.2457
Ta 0.5592 0.1834 0.2543
Ta 0.4408 0.8166 0.2543
Ta 0.5592 0.1834 0.7457
Ta 0.4408 0.8166 0.7457
Ta 0.0592 0.3166 0.7543
Ta 0.9408 0.6834 0.7543
CELL_PARAMETERS angstrom
-2.2104 4.7116 1.8849
-0.4812 -7.4154 17.9716
7.0978 2.7928 1.3424
```

Output
**Crystal system**: orthorhombic
**Electronic total energy**: -8.7022 eV/atom

---

Record 2
A plane-wave DFT calculation with GGA-PBE was carried out for a geometry-optimized LuPb2 structure. Values from VASP.

```
&SYSTEM
  ibrav = 0, nat = 3, ntyp = 2
/
ATOMIC_SPECIES
Lu 174.97 Lu.upf
Pb 207.20 Pb.upf
ATOMIC_POSITIONS crystal
Lu 0.0000 0.0000 0.0000
Pb 0.6608 0.6608 0.3216
Pb 0.3392 0.3392 0.6784
CELL_PARAMETERS angstrom
-3.7506 0.0000 0.0000
0.0000 -3.7506 0.0000
1.8753 1.8753 6.1400
```

Output
**Crystal system**: tetragonal
**Electronic total energy**: -4.1071 eV/atom

---

Record 3
A plane-wave DFT calculation with GGA-PBE was carried out for a geometry-optimized LaInHg2 structure. Values from VASP.

```
&SYSTEM
  ibrav = 0, nat = 8, ntyp = 3
/
ATOMIC_SPECIES
Hg 200.59 Hg.upf
In 114.82 In.upf
La 138.91 La.upf
ATOMIC_POSITIONS crystal
Hg 0.6667 0.3333 0.0974
Hg 0.6667 0.3333 0.4026
Hg 0.3333 0.6667 0.5974
Hg 0.3333 0.6667 0.9026
In 0.0000 0.0000 0.0000
In 0.0000 0.0000 0.5000
La 0.3333 0.6667 0.2500
La 0.6667 0.3333 0.7500
CELL_PARAMETERS angstrom
-4.5257 0.1777 2.0563
0.6112 -2.0416 -4.4945
1.5831 -8.8872 4.2523
```

Output
**Crystal system**: hexagonal
**Energy above the lowest structure with this stoichiometry**: 36 meV/atom